Be4TcB (GGA-PBE, relaxed); offset from the most stable computed form = 0.000 eV per atom; E_form = -0.09 eV per atom; space group = P2_1/m
1.0
5.2534 0.0000 0.0000
0.0000 4.2470 0.0000
-2.2601 0.0000 4.8272
Be Tc B
8 2 2
direct
0.0266 0.2500 0.1149
0.3706 0.7500 0.4703
0.3924 0.0007 0.1271
0.3924 0.4993 0.1271
0.6076 0.5007 0.8729
0.6076 0.9993 0.8729
0.6294 0.2500 0.5297
0.9734 0.7500 0.8851
0.1394 0.2500 0.6889
0.8606 0.7500 0.3111
0.2546 0.7500 0.7543
0.7454 0.2500 0.2457



Sm2LuH (GGA-PBE, relaxed); space group = P4/mmm
1.0
3.3867 0.0000 0.0000
0.0000 3.3867 0.0000
0.0000 0.0000 8.4615
Sm Lu H
2 1 1
direct
0.0000 0.0000 0.1934
0.0000 0.0000 0.8066
0.5000 0.5000 0.5000
0.5000 0.5000 0.0000



no.,E (eV per atom),calculated volume (A^3/atom)
1,-5.414,9.0
2,-4.237,24.3